Entry from Alexandria: crystalline Be3Cr at its relaxed geometry (PBE).

It has space group P4/mmm (No. 123), with a = 2.336 Å, b = 2.336 Å, c = 6.573 Å, α = 90.00°, β = 90.00° and γ = 90.00°. The asymmetric unit holds Be at (0.000, 0.000, 0.000), Be at (0.500, 0.500, 0.227) and Cr at (0.000, 0.000, 0.500).

Its density of states at the Fermi level is 0.719 states/eV per cell. As for the formation energy: 31 meV per atom. As for the total energy: -5.17 eV/atom. As for the density: 3659 kg/m³. The calculation puts the calculated volume at 9.0 A^3/atom.



Entry from Alexandria: crystalline Be2Cr at its relaxed geometry (PBE).

It has space group I4/mmm (No. 139), with a = 2.353 Å, b = 2.353 Å, c = 10.077 Å, α = 90.00°, β = 90.00° and γ = 90.00°. The asymmetric unit holds Be at (0.000, 0.000, 0.176) and Cr at (0.000, 0.000, 0.500).

Its density of states at the Fermi level is 2.453 states/eV per cell. The distance to the lowest polymorph of the same formula is 275 meV per atom. As for the formation energy: 38 meV per atom. As for the total energy: -5.65 eV/atom. As for the density: 4170 kg/m³. The calculation puts the calculated volume at 9.3 A^3/atom.



Entry from Alexandria: crystalline BeCr3 at its relaxed geometry (PBE).

It has space group Pmm2 (No. 25), with a = 2.317 Å, b = 4.100 Å, c = 4.633 Å, α = 90.00°, β = 90.00° and γ = 90.00°. The asymmetric unit holds Be at (0.000, 0.000, 0.000), Cr at (0.000, 0.500, 0.296), Cr at (0.500, 0.000, 0.515) and Cr at (0.500, 0.500, 0.814).

Its density of states at the Fermi level is 3.251 states/eV per cell. As for the formation energy: 192 meV per atom. As for the total energy: -7.96 eV/atom. As for the density: 6225 kg/m³. The calculation puts the calculated volume at 11.0 A^3/atom.



Entry from Alexandria: crystalline BeCr at its relaxed geometry (PBE).

It has space group Pmmn (No. 59, origin choice 2), with a = 2.259 Å, b = 4.086 Å, c = 4.465 Å, α = 90.00°, β = 90.00° and γ = 90.00°. The asymmetric unit holds Be at (0.250, 0.250, 0.091) and Cr at (0.250, 0.750, 0.399).

Its density of states at the Fermi level is 3.652 states/eV per cell. As for the formation energy: 222 meV per atom. As for the total energy: -6.45 eV/atom. As for the density: 4917 kg/m³. The calculation puts the calculated volume at 10.3 A^3/atom.



Entry from Alexandria: crystalline BeCr at its relaxed geometry (PBE).

It has space group P6_3/mmc (No. 194), with a = 3.7099 Å, b = 3.7099 Å, c = 4.3004 Å, α = 90.00°, β = 90.00° and γ = 120.00°. The asymmetric unit holds Be at (0.3333, 0.6667, 0.2500) and Cr at (0.3333, 0.6667, 0.7500).

Its density of states at the Fermi level is 2.534 states/eV per cell. As for the formation energy: 1266 meV per atom. As for the total energy: -5.41 eV/atom. As for the density: 3953 kg/m³. The calculation puts the calculated volume at 12.8 A^3/atom.



Entry from Alexandria: crystalline BeCr3 at its relaxed geometry (PBE).

It has space group C2/m (No. 12), with a = 8.173 Å, b = 2.346 Å, c = 4.581 Å, α = 90.00°, β = 93.01° and γ = 90.00°. The asymmetric unit holds Be at (0.000, 0.000, 0.000), Cr at (0.000, 0.500, 0.500) and Cr at (0.242, 0.500, 0.240).

Its density of states at the Fermi level is 6.400 states/eV per cell. As for the formation energy: 177 meV per atom. As for the total energy: -7.97 eV/atom. As for the density: 6247 kg/m³. The calculation puts the calculated volume at 11.0 A^3/atom.



Entry from Alexandria: crystalline Be2Cr at its relaxed geometry (PBE).

It has space group C2/m (No. 12), with a = 8.455 Å, b = 2.305 Å, c = 6.030 Å, α = 90.00°, β = 111.05° and γ = 90.00°. The asymmetric unit holds Be at (0.042, 0.000, 0.242), Be at (0.153, 0.500, 0.027) and Cr at (0.156, 0.500, 0.615).

Its density of states at the Fermi level is 5.415 states/eV per cell. The distance to the lowest polymorph of the same formula is 255 meV per atom. As for the formation energy: 17 meV per atom. As for the total energy: -5.68 eV/atom. As for the density: 4240 kg/m³. The calculation puts the calculated volume at 9.1 A^3/atom.



Entry from Alexandria: crystalline BeCr at its relaxed geometry (PBE).

It has space group I-43m (No. 217), with a = 6.998 Å, b = 6.998 Å, c = 6.998 Å, α = 90.00°, β = 90.00° and γ = 90.00°. The asymmetric unit holds Be at (0.196, 0.196, 0.196) and Cr at (0.116, 0.116, 0.884).

Its density of states at the Fermi level is 23.341 states/eV per cell. As for the formation energy: 1847 meV per atom. As for the total energy: -4.83 eV/atom. As for the density: 2365 kg/m³. The calculation puts the calculated volume at 21.4 A^3/atom.



Entry from Alexandria: crystalline BeCr3 at its relaxed geometry (PBE).

It has space group P4/mmm (No. 123), with a = 3.724 Å, b = 3.724 Å, c = 3.097 Å, α = 90.00°, β = 90.00° and γ = 90.00°. The asymmetric unit holds Be at (0.000, 0.000, 0.000), Cr at (0.000, 0.500, 0.500) and Cr at (0.500, 0.500, 0.000).

Its density of states at the Fermi level is 3.229 states/eV per cell. As for the formation energy: 93 meV per atom. As for the total energy: -8.06 eV/atom. As for the density: 6380 kg/m³. The calculation puts the calculated volume at 10.7 A^3/atom.



Entry from Alexandria: crystalline BeCr3 at its relaxed geometry (PBE).

It has space group P4/mmm (No. 123), with a = 2.360 Å, b = 2.360 Å, c = 7.804 Å, α = 90.00°, β = 90.00° and γ = 90.00°. The asymmetric unit holds Be at (0.000, 0.000, 0.000), Cr at (0.000, 0.000, 0.500) and Cr at (0.500, 0.500, 0.227).

Its density of states at the Fermi level is 2.988 states/eV per cell. As for the formation energy: 156 meV per atom. As for the total energy: -7.99 eV/atom. As for the density: 6306 kg/m³. The calculation puts the calculated volume at 10.9 A^3/atom.



Entry from Alexandria: crystalline Be3Cr at its relaxed geometry (PBE).

It has space group Imm2 (No. 44), with a = 2.259 Å, b = 7.694 Å, c = 4.214 Å, α = 90.00°, β = 90.00° and γ = 90.00°. The asymmetric unit holds Be at (0.000, 0.000, 0.000), Be at (0.000, 0.255, 0.313) and Cr at (0.000, 0.500, 0.997).

Its density of states at the Fermi level is 3.862 states/eV per cell. As for the formation energy: 54 meV per atom. As for the total energy: -5.15 eV/atom. As for the density: 3584 kg/m³. The calculation puts the calculated volume at 9.2 A^3/atom.



Entry from Alexandria: crystalline Be2Cr at its relaxed geometry (PBE).

It has space group P-3m1 (No. 164), with a = 2.4028 Å, b = 2.4028 Å, c = 5.8550 Å, α = 90.00°, β = 90.00° and γ = 120.00°. The asymmetric unit holds Be at (0.3333, 0.6667, 0.3405) and Cr at (0.0000, 0.0000, 0.0000).

Its density of states at the Fermi level is 1.462 states/eV per cell. The distance to the lowest polymorph of the same formula is 450 meV per atom. As for the formation energy: 212 meV per atom. As for the total energy: -5.48 eV/atom. As for the density: 3972 kg/m³. The calculation puts the calculated volume at 9.8 A^3/atom.



Please write out number 12 again, unchanged.
Entry from Alexandria: crystalline Be2Cr at its relaxed geometry (PBE).

It has space group P-3m1 (No. 164), with a = 2.4028 Å, b = 2.4028 Å, c = 5.8550 Å, α = 90.00°, β = 90.00° and γ = 120.00°. The asymmetric unit holds Be at (0.3333, 0.6667, 0.3405) and Cr at (0.0000, 0.0000, 0.0000).

Its density of states at the Fermi level is 1.462 states/eV per cell. The distance to the lowest polymorph of the same formula is 450 meV per atom. As for the formation energy: 212 meV per atom. As for the total energy: -5.48 eV/atom. As for the density: 3972 kg/m³. The calculation puts the calculated volume at 9.8 A^3/atom.